1.
Density functional theory data (PBE-GGA) for an optimized crystal structure of Rb2InHOs.

Calculated values
**E**: -2.9031 eV per atom
**Density**: 4.98 Mg/m³

```
data_Rb2InHOs
_space_group_name_H-M_alt 'P 4/m m m'
_space_group_IT_number 123
_space_group_name_Hall '-P 4 2'
_cell_length_a 6.891
_cell_length_b 6.891
_cell_length_c 3.353
_cell_angle_alpha 90.00
_cell_angle_beta 90.00
_cell_angle_gamma 90.00
loop_
_atom_site_label
_atom_site_type_symbol
_atom_site_fract_x
_atom_site_fract_y
_atom_site_fract_z
Rb1 Rb 0.000 0.500 0.000
In1 In 0.000 0.000 0.500
H1 H 0.500 0.500 0.500
Os1 Os 0.500 0.500 0.000
```

2.
Density functional theory data (PBE-GGA) for an optimized crystal structure of KSmTeI.

Calculated values
**E**: -3.8315 eV per atom
**Density**: 4.95 Mg/m³
**E_form (uncorrected)**: -1.2044 eV per atom

```
data_KSmTeI
_space_group_name_H-M_alt 'R 3 m'
_space_group_IT_number 160
_space_group_name_Hall 'R 3 -2"'
_cell_length_a 4.4594
_cell_length_b 4.4594
_cell_length_c 25.9497
_cell_angle_alpha 90.00
_cell_angle_beta 90.00
_cell_angle_gamma 120.00
loop_
_atom_site_label
_atom_site_type_symbol
_atom_site_fract_x
_atom_site_fract_y
_atom_site_fract_z
K1 K 0.0000 0.0000 0.0000
Sm1 Sm 0.0000 0.0000 0.1814
Te1 Te 0.0000 0.0000 0.5819
I1 I 0.0000 0.0000 0.7690
```

3.
Density functional theory data (PBE-GGA) for an optimized crystal structure of CrMoPt.

Calculated values
**E**: -8.4149 eV per atom
**Density**: 11.60 Mg/m³
**Formation energy**: 417 meV/atom
**Offset from the most stable computed form**: 457 meV/atom

```
data_CrMoPt
_space_group_name_H-M_alt 'F -4 3 m'
_space_group_IT_number 216
_space_group_name_Hall 'F -4 2 3'
_cell_length_a 5.813
_cell_length_b 5.813
_cell_length_c 5.813
_cell_angle_alpha 90.00
_cell_angle_beta 90.00
_cell_angle_gamma 90.00
loop_
_atom_site_label
_atom_site_type_symbol
_atom_site_fract_x
_atom_site_fract_y
_atom_site_fract_z
Cr1 Cr 0.000 0.000 0.000
Mo1 Mo 0.250 0.250 0.250
Pt1 Pt 0.250 0.250 0.750
```

4.
Density functional theory data (PBE-GGA) for an optimized crystal structure of CsThInI6.

Calculated values
**E**: -3.4159 eV per atom
**Density**: 3.91 Mg/m³
**E_form (uncorrected)**: -1.1589 eV per atom

```
data_CsThInI6
_space_group_name_H-M_alt 'P -3 1 c'
_space_group_IT_number 163
_space_group_name_Hall '-P 3 2c'
_cell_length_a 8.6853
_cell_length_b 8.6853
_cell_length_c 16.1489
_cell_angle_alpha 90.00
_cell_angle_beta 90.00
_cell_angle_gamma 120.00
loop_
_atom_site_label
_atom_site_type_symbol
_atom_site_fract_x
_atom_site_fract_y
_atom_site_fract_z
Cs1 Cs 0.0000 0.0000 0.0000
Th1 Th 0.3333 0.6667 0.2500
In1 In 0.3333 0.6667 0.7500
I1 I 0.0339 0.3865 0.1399
```

5.
Density functional theory data (PBE-GGA) for an optimized crystal structure of KTbAsO4.

Calculated values
**E**: -6.2147 eV per atom
**Density**: 5.22 Mg/m³
**E_form (uncorrected)**: -1.8990 eV per atom

```
data_KTbAsO4
_space_group_name_H-M_alt 'I m m a'
_space_group_IT_number 74
_space_group_name_Hall '-I 2b 2'
_cell_length_a 6.478
_cell_length_b 6.984
_cell_length_c 9.474
_cell_angle_alpha 90.00
_cell_angle_beta 90.00
_cell_angle_gamma 90.00
loop_
_atom_site_label
_atom_site_type_symbol
_atom_site_fract_x
_atom_site_fract_y
_atom_site_fract_z
K1 K 0.250 0.250 0.250
Tb1 Tb 0.000 0.000 0.000
As1 As 0.000 0.250 0.638
O1 O 0.000 0.047 0.750
O2 O 0.236 0.250 0.980
```

6.
Density functional theory data (PBE-GGA) for an optimized crystal structure of K2HgIrN.

Calculated values
**E**: -4.0513 eV per atom
**Density**: 6.05 Mg/m³
**Offset from the most stable computed form**: 0 meV/atom
**E_form (uncorrected)**: -0.1147 eV per atom

```
data_K2HgIrN
_space_group_name_H-M_alt 'P 4/m m m'
_space_group_IT_number 123
_space_group_name_Hall '-P 4 2'
_cell_length_a 5.979
_cell_length_b 5.979
_cell_length_c 3.725
_cell_angle_alpha 90.00
_cell_angle_beta 90.00
_cell_angle_gamma 90.00
loop_
_atom_site_label
_atom_site_type_symbol
_atom_site_fract_x
_atom_site_fract_y
_atom_site_fract_z
K1 K 0.000 0.500 0.000
Hg1 Hg 0.000 0.000 0.500
Ir1 Ir 0.500 0.500 0.500
N1 N 0.500 0.500 0.000
```

7.
Density functional theory data (PBE-GGA) for an optimized crystal structure of FeReP.

Calculated values
**E**: -8.6635 eV per atom
**Density**: 11.02 Mg/m³
**Formation energy**: 110 meV/atom
**Offset from the most stable computed form**: 187 meV/atom

```
data_FeReP
_space_group_name_H-M_alt 'F -4 3 m'
_space_group_IT_number 216
_space_group_name_Hall 'F -4 2 3'
_cell_length_a 5.479
_cell_length_b 5.479
_cell_length_c 5.479
_cell_angle_alpha 90.00
_cell_angle_beta 90.00
_cell_angle_gamma 90.00
loop_
_atom_site_label
_atom_site_type_symbol
_atom_site_fract_x
_atom_site_fract_y
_atom_site_fract_z
Fe1 Fe 0.000 0.000 0.000
Re1 Re 0.250 0.250 0.750
P1 P 0.250 0.250 0.250
```

8.
Density functional theory data (PBE-GGA) for an optimized crystal structure of ZrSc4Pb.

Calculated values
**E**: -6.1007 eV per atom
**Density**: 5.43 Mg/m³
**Formation energy**: 163 meV/atom
**Offset from the most stable computed form**: 330 meV/atom

```
data_ZrSc4Pb
_space_group_name_H-M_alt 'F -4 3 m'
_space_group_IT_number 216
_space_group_name_Hall 'F -4 2 3'
_cell_length_a 8.364
_cell_length_b 8.364
_cell_length_c 8.364
_cell_angle_alpha 90.00
_cell_angle_beta 90.00
_cell_angle_gamma 90.00
loop_
_atom_site_label
_atom_site_type_symbol
_atom_site_fract_x
_atom_site_fract_y
_atom_site_fract_z
Zr1 Zr 0.000 0.000 0.000
Sc1 Sc 0.127 0.127 0.373
Pb1 Pb 0.250 0.250 0.750
```

9.
Density functional theory data (PBE-GGA) for an optimized crystal structure of CrBS2Cl.

Calculated values
**E**: -4.5131 eV per atom
**Density**: 2.73 Mg/m³
**Offset from the most stable computed form**: 0 meV/atom
**E_form (uncorrected)**: 0.7674 eV per atom

```
data_CrBS2Cl
_space_group_name_H-M_alt 'P 4/m m m'
_space_group_IT_number 123
_space_group_name_Hall '-P 4 2'
_cell_length_a 4.529
_cell_length_b 4.529
_cell_length_c 4.824
_cell_angle_alpha 90.00
_cell_angle_beta 90.00
_cell_angle_gamma 90.00
loop_
_atom_site_label
_atom_site_type_symbol
_atom_site_fract_x
_atom_site_fract_y
_atom_site_fract_z
Cr1 Cr 0.000 0.000 0.000
B1 B 0.500 0.500 0.500
S1 S 0.000 0.500 0.000
Cl1 Cl 0.000 0.000 0.500
```